The following is a DFT calculation (GGA-PBE) of crystalline NaAlReTc at its relaxed geometry.

Results
As for the polymorph energy (0 for the lowest one): 0 meV per atom. Its total magnetic moment is 0.00 Bohr magnetons per cell.

Geometry as CIF:
```
data_NaAlReTc
_symmetry_space_group_name_H-M 'F -4 3 m'
_symmetry_Int_Tables_number 216
_symmetry_space_group_name_Hall 'F -4 2 3'
_cell_length_a 6.2285
_cell_length_b 6.2285
_cell_length_c 6.2285
_cell_angle_alpha 90.00
_cell_angle_beta 90.00
_cell_angle_gamma 90.00
loop_
_atom_site_label
_atom_site_type_symbol
_atom_site_fract_x
_atom_site_fract_y
_atom_site_fract_z
Na1 Na 0.0000 0.0000 0.0000
Al1 Al 0.2500 0.2500 0.2500
Re1 Re 0.0000 0.0000 0.5000
Tc1 Tc 0.2500 0.2500 0.7500
```